This record from Alexandria describes an optimized crystal structure of Ho4Er5Th. The functional is PBE.

Unit cell a=10.1029 b=10.1029 c=6.3210 alpha=90.00 beta=90.00 gamma=90.00
Space group I4 (No. 79)
Unique sites:
1 Ho 0.0511 0.6532 0.0000
2 Er 0.0000 0.0000 0.2420
3 Er 0.1430 0.7661 0.5005
4 Th 0.0000 0.0000 0.7756

Values from the calculation:
**ΔE to the lowest computed polymorph**: 1.53 eV/f.u.

---

This record from Alexandria describes an optimized crystal structure of Ho3Er7Th2. The functional is PBE.

Unit cell a=6.2918 b=3.4640 c=17.3231 alpha=90.00 beta=95.95 gamma=90.00
Space group P2/m (No. 10)
Unique sites:
1 Ho 0.0000 0.0000 0.0000
2 Ho 0.0441 0.5000 0.6594
3 Er 0.2261 0.5000 0.1647
4 Er 0.2435 0.0000 0.5006
5 Er 0.2765 0.0000 0.8337
6 Er 0.5000 0.5000 0.0000
7 Th 0.4434 0.0000 0.3302

---

This record from Alexandria describes an optimized crystal structure of Ho4ErTh. The functional is PBE.

Unit cell a=3.5441 b=6.1098 c=9.3265 alpha=77.45 beta=79.14 gamma=73.28
Space group P-1 (No. 2)
Unique sites:
1 Ho 0.1660 0.4983 0.1694
2 Ho 0.1666 0.0046 0.6639
3 Er 0.5000 0.0000 0.0000
4 Th 0.5000 0.5000 0.5000

Values from the calculation:
**ΔE to the lowest computed polymorph**: 0.00 eV/f.u.

---

This record from Alexandria describes an optimized crystal structure of Ho4Er8Th. The functional is PBE.

Unit cell a=6.8109 b=6.8109 c=31.6409 alpha=90.00 beta=90.00 gamma=120.00
Space group R-3m (No. 166, hexagonal axes)
Unique sites:
1 Ho 0.0000 0.0000 0.0000
2 Ho 0.0000 0.5000 0.0000
3 Er 0.0000 0.0000 0.2006
4 Er 0.0066 0.5033 0.7545
5 Th 0.0000 0.0000 0.5000

---

This record from Alexandria describes an optimized crystal structure of Ho2ErTh4. The functional is PBE.

Unit cell a=3.5602 b=35.8824 c=3.5420 alpha=90.00 beta=90.00 gamma=90.00
Space group Cmmm (No. 65)
Unique sites:
1 Ho 0.0000 0.2079 0.0000
2 Er 0.0000 0.5000 0.5000
3 Th 0.0000 0.0713 0.0000
4 Th 0.0000 0.3598 0.5000

Values from the calculation:
**ΔE to the lowest computed polymorph**: 0.00 eV/f.u.

---

This record from Alexandria describes an optimized crystal structure of Ho5Er12Th2. The functional is PBE.

Unit cell a=6.2183 b=9.0034 c=10.7447 alpha=87.21 beta=82.65 gamma=88.07
Space group P-1 (No. 2)
Unique sites:
1 Ho 0.0000 0.0000 0.0000
2 Ho 0.1215 0.9884 0.3451
3 Ho 0.2787 0.5659 0.9442
4 Er 0.0197 0.3388 0.7718
5 Er 0.0791 0.6646 0.5523
6 Er 0.1826 0.2974 0.1536
7 Er 0.3554 0.8628 0.7523
8 Er 0.4059 0.1752 0.5525
9 Er 0.4963 0.8205 0.1154
10 Th 0.4547 0.4909 0.3423

Values from the calculation:
**ΔE to the lowest computed polymorph**: 0.00 eV/f.u.

---

This record from Alexandria describes an optimized crystal structure of Ho3Er5Th. The functional is PBE.

Unit cell a=16.8776 b=7.8605 c=12.1846 alpha=90.00 beta=131.24 gamma=90.00
Space group C2/m (No. 12)
Unique sites:
1 Ho 0.0000 0.0000 0.0000
2 Ho 0.0000 0.5000 0.5000
3 Ho 0.1208 0.0000 0.8173
4 Ho 0.1682 0.5000 0.8394
5 Er 0.0000 0.1786 0.5000
6 Er 0.0690 0.2914 0.2882
7 Er 0.1216 0.5000 0.0643
8 Er 0.2028 0.0000 0.5748
9 Th 0.2374 0.5000 0.6350

---

This record from Alexandria describes an optimized crystal structure of Ho2ErTh3. The functional is PBE.

Unit cell a=10.1834 b=11.2605 c=6.6988 alpha=90.00 beta=90.00 gamma=90.00
Space group Cmcm (No. 63)
Unique sites:
1 Ho 0.1667 0.2298 0.2500
2 Er 0.0000 0.2704 0.7500
3 Th 0.0000 0.0000 0.0000
4 Th 0.1666 0.5000 0.0000

Values from the calculation:
**ΔE to the lowest computed polymorph**: 0.00 eV/f.u.

---

no.,E_form (eV per atom),final energy (eV per cell)
1,0.335,-90.4
2,0.098,-59.3
3,0.028,-30.1
4,0.291,-175.3
5,0.085,-85.6
6,0.077,-91.0
7,0.454,-159.5
8,0.183,-139.5